# 1
{"formula": "Tl3PtBr", "functional": "PBE", "state": "relaxed", "lattice": [[12.749, 0.000, 2.123], [4.637, 6.239, -3.092], [-4.637, 6.239, 3.092]], "species": ["Tl", "Tl", "Tl", "Tl", "Tl", "Tl", "Tl", "Tl", "Tl", "Tl", "Tl", "Tl", "Br", "Br", "Br", "Br", "Pt", "Pt", "Pt", "Pt"], "fractional_positions": [[0.459, 0.237, 0.439], [0.041, 0.939, 0.737], [0.541, 0.763, 0.561], [0.959, 0.061, 0.263], [0.116, 0.236, 0.202], [0.384, 0.702, 0.736], [0.884, 0.764, 0.798], [0.616, 0.298, 0.264], [0.626, 0.005, 0.979], [0.874, 0.479, 0.505], [0.374, 0.995, 0.021], [0.126, 0.521, 0.495], [0.750, 0.242, 0.742], [0.250, 0.758, 0.258], [0.750, 0.556, 0.056], [0.250, 0.444, 0.944], [0.358, 0.116, 0.619], [0.142, 0.119, 0.616], [0.642, 0.884, 0.381], [0.858, 0.881, 0.384]], "vol_a3_per_atom": 30.7, "formation_energy_uncorrected_mev_per_atom": -255, "total_energy_ev_per_cell": -64.3, "magnetic_moment_mub_per_fu": 0.00, "relative_energy_ev_per_atom": 0.149}

---

# 2
{"formula": "TlPt2Br", "functional": "PBE", "state": "relaxed", "lattice": [[5.788, 0.045, 0.000], [3.042, 4.924, 0.000], [-4.415, -2.484, 2.799]], "species": ["Tl", "Br", "Pt", "Pt"], "fractional_positions": [[0.500, 0.500, 0.000], [0.750, 0.250, 0.500], [0.000, 0.000, 0.000], [0.250, 0.750, 0.500]], "vol_a3_per_atom": 19.8, "formation_energy_uncorrected_mev_per_atom": 428, "total_energy_ev_per_cell": -14.4, "magnetic_moment_mub_per_fu": 0.00, "relative_energy_ev_per_atom": 0.354}

---

# 3
{"formula": "Tl3PtBr", "functional": "PBE", "state": "relaxed", "lattice": [[8.780, 0.000, 0.000], [0.000, 8.994, 0.000], [0.000, 0.000, 8.495]], "species": ["Tl", "Tl", "Tl", "Tl", "Tl", "Tl", "Tl", "Tl", "Tl", "Tl", "Tl", "Tl", "Br", "Br", "Br", "Br", "Pt", "Pt", "Pt", "Pt"], "fractional_positions": [[0.126, 0.940, 0.855], [0.374, 0.440, 0.355], [0.374, 0.060, 0.355], [0.874, 0.440, 0.145], [0.874, 0.060, 0.145], [0.626, 0.560, 0.645], [0.626, 0.940, 0.645], [0.126, 0.560, 0.855], [0.342, 0.250, 0.792], [0.158, 0.750, 0.292], [0.658, 0.750, 0.208], [0.842, 0.250, 0.708], [0.000, 0.000, 0.500], [0.500, 0.500, 0.000], [0.500, 0.000, 0.000], [0.000, 0.500, 0.500], [0.556, 0.250, 0.556], [0.944, 0.750, 0.056], [0.444, 0.750, 0.444], [0.056, 0.250, 0.944]], "vol_a3_per_atom": 33.5, "formation_energy_uncorrected_mev_per_atom": -213, "total_energy_ev_per_cell": -63.5, "magnetic_moment_mub_per_fu": 0.00, "relative_energy_ev_per_atom": 0.191}

---

# 4
{"formula": "Tl3PtBr", "functional": "PBE", "state": "relaxed", "lattice": [[-3.790, 3.810, -0.705], [2.926, -1.726, -4.223], [-7.608, -7.944, -2.023]], "species": ["Tl", "Tl", "Tl", "Tl", "Tl", "Tl", "Br", "Br", "Pt", "Pt"], "fractional_positions": [[0.000, 0.000, 0.250], [0.000, 0.000, 0.750], [0.333, 0.667, 0.034], [0.333, 0.667, 0.466], [0.667, 0.333, 0.534], [0.667, 0.333, 0.966], [0.333, 0.667, 0.750], [0.667, 0.333, 0.250], [0.000, 0.000, 0.000], [0.000, 0.000, 0.500]], "vol_a3_per_atom": 28.5, "formation_energy_uncorrected_mev_per_atom": -252, "total_energy_ev_per_cell": -32.1, "magnetic_moment_mub_per_fu": 0.00, "relative_energy_ev_per_atom": 0.152}

---

# 5
{"formula": "TlPt2Br", "functional": "PBE", "state": "relaxed", "lattice": [[-0.536, 6.419, 3.202], [-4.636, 3.261, 4.429], [4.001, -5.718, -1.743]], "species": ["Tl", "Br", "Pt", "Pt"], "fractional_positions": [[0.505, 0.505, 0.000], [0.236, 0.736, 0.500], [0.951, 0.951, 0.000], [0.808, 0.308, 0.500]], "vol_a3_per_atom": 23.6, "formation_energy_uncorrected_mev_per_atom": 307, "total_energy_ev_per_cell": -14.9, "magnetic_moment_mub_per_fu": 0.00, "relative_energy_ev_per_atom": 0.232}

---

# 6
{"formula": "TlPt2Br", "functional": "PBE", "state": "relaxed", "lattice": [[-3.085, 0.889, 0.372], [0.587, -0.178, 5.288], [1.587, 4.657, 2.031]], "species": ["Tl", "Br", "Pt", "Pt"], "fractional_positions": [[0.500, 0.250, 0.250], [0.500, 0.750, 0.750], [0.000, 0.001, 0.001], [0.000, 0.499, 0.499]], "vol_a3_per_atom": 21.2, "formation_energy_uncorrected_mev_per_atom": 257, "total_energy_ev_per_cell": -15.1, "magnetic_moment_mub_per_fu": 0.00, "relative_energy_ev_per_atom": 0.183}

---

# 7
{"formula": "Tl3PtBr", "functional": "PBE", "state": "relaxed", "lattice": [[5.973, 0.000, 0.000], [0.000, 5.973, 0.000], [0.000, 0.000, 5.973]], "species": ["Tl", "Tl", "Tl", "Br", "Pt"], "fractional_positions": [[0.000, 0.500, 0.000], [0.000, 0.000, 0.500], [0.500, 0.000, 0.000], [0.000, 0.000, 0.000], [0.500, 0.500, 0.500]], "vol_a3_per_atom": 42.6, "formation_energy_uncorrected_mev_per_atom": 520, "total_energy_ev_per_cell": -12.2, "magnetic_moment_mub_per_fu": 0.00, "relative_energy_ev_per_atom": 0.924}

---

# 8
{"formula": "Tl3PtBr", "functional": "PBE", "state": "relaxed", "lattice": [[-3.087, -2.731, -0.275], [3.666, -3.411, -7.292], [0.634, -1.589, 8.679]], "species": ["Tl", "Tl", "Tl", "Br", "Pt"], "fractional_positions": [[0.500, 0.160, 0.297], [0.500, 0.703, 0.840], [0.000, 0.245, 0.755], [0.500, 0.105, 0.895], [0.000, 0.415, 0.585]], "vol_a3_per_atom": 45.5, "formation_energy_uncorrected_mev_per_atom": -124, "total_energy_ev_per_cell": -15.4, "magnetic_moment_mub_per_fu": 0.00, "relative_energy_ev_per_atom": 0.280}

---

# 9
{"formula": "TlPt4Br", "functional": "PBE", "state": "relaxed", "lattice": [[0.000, 3.867, 3.867], [3.867, 0.000, 3.867], [3.867, 3.867, 0.000]], "species": ["Tl", "Pt", "Pt", "Pt", "Pt", "Br"], "fractional_positions": [[0.750, 0.750, 0.750], [0.873, 0.376, 0.376], [0.376, 0.376, 0.873], [0.376, 0.873, 0.376], [0.376, 0.376, 0.376], [0.000, 0.000, 0.000]], "vol_a3_per_atom": 19.3, "formation_energy_uncorrected_mev_per_atom": 357, "total_energy_ev_per_cell": -26.1, "magnetic_moment_mub_per_fu": 0.00}

---

# 10
{"formula": "Tl3PtBr", "functional": "PBE", "state": "relaxed", "lattice": [[6.253, 0.000, 0.000], [0.000, 6.253, 0.000], [3.126, 3.126, 9.075]], "species": ["Tl", "Tl", "Tl", "Tl", "Tl", "Tl", "Br", "Br", "Pt", "Pt"], "fractional_positions": [[0.135, 0.881, 0.238], [0.119, 0.865, 0.762], [0.119, 0.373, 0.762], [0.627, 0.881, 0.238], [0.298, 0.298, 0.404], [0.702, 0.702, 0.596], [0.640, 0.140, 0.721], [0.860, 0.360, 0.279], [0.000, 0.000, 0.000], [0.250, 0.750, 0.500]], "vol_a3_per_atom": 35.5, "formation_energy_uncorrected_mev_per_atom": -107, "total_energy_ev_per_cell": -30.7, "magnetic_moment_mub_per_fu": 0.00, "relative_energy_ev_per_atom": 0.296}

---

# 11
{"formula": "Tl4PtBr8", "functional": "PBE", "state": "relaxed", "lattice": [[7.771, -0.149, 3.476], [-7.220, 0.845, 4.433], [-0.727, -7.830, -3.265]], "species": ["Tl", "Tl", "Tl", "Tl", "Pt", "Br", "Br", "Br", "Br", "Br", "Br", "Br", "Br"], "fractional_positions": [[0.500, 0.500, 0.500], [0.000, 0.000, 0.500], [0.000, 0.500, 0.000], [0.500, 0.000, 0.000], [0.000, 0.000, 0.000], [0.229, 0.000, 0.229], [0.771, 0.000, 0.771], [0.000, 0.229, 0.229], [0.000, 0.771, 0.771], [0.229, 0.500, 0.729], [0.771, 0.500, 0.271], [0.500, 0.229, 0.729], [0.500, 0.771, 0.271]], "vol_a3_per_atom": 34.7, "formation_energy_uncorrected_mev_per_atom": -501, "total_energy_ev_per_cell": -35.4, "magnetic_moment_mub_per_fu": 0.00}

---

# 12
{"formula": "Tl3PtBr", "functional": "PBE", "state": "relaxed", "lattice": [[4.157, -2.400, 0.000], [0.000, 4.800, 0.000], [0.000, 0.000, 15.506]], "species": ["Tl", "Tl", "Tl", "Tl", "Tl", "Tl", "Br", "Br", "Pt", "Pt"], "fractional_positions": [[0.000, 0.000, 0.250], [0.000, 0.000, 0.750], [0.333, 0.667, 0.122], [0.333, 0.667, 0.378], [0.667, 0.333, 0.622], [0.667, 0.333, 0.878], [0.000, 0.000, 0.000], [0.000, 0.000, 0.500], [0.333, 0.667, 0.750], [0.667, 0.333, 0.250]], "vol_a3_per_atom": 30.9, "formation_energy_uncorrected_mev_per_atom": -179, "total_energy_ev_per_cell": -31.4, "magnetic_moment_mub_per_fu": 0.00, "relative_energy_ev_per_atom": 0.224}

---

# 13
{"formula": "TlPt2Br", "functional": "PBE", "state": "relaxed", "lattice": [[-7.301, 0.018, 3.894], [-5.113, -0.348, 6.496], [-5.774, 2.764, 5.243]], "species": ["Tl", "Br", "Pt", "Pt"], "fractional_positions": [[0.250, 0.250, 0.250], [0.750, 0.750, 0.750], [0.998, 0.998, 0.998], [0.502, 0.502, 0.502]], "vol_a3_per_atom": 20.3, "formation_energy_uncorrected_mev_per_atom": 351, "total_energy_ev_per_cell": -14.7, "magnetic_moment_mub_per_fu": 0.00, "relative_energy_ev_per_atom": 0.277}

---

# 14
{"formula": "TlPt2Br", "functional": "PBE", "state": "relaxed", "lattice": [[-2.079, 1.130, -2.760], [-2.335, -2.415, 0.770], [-3.836, 4.514, 4.737]], "species": ["Tl", "Br", "Pt", "Pt"], "fractional_positions": [[0.000, 0.473, 0.464], [0.500, 0.870, 0.800], [0.000, 0.839, 0.059], [0.500, 0.319, 0.177]], "vol_a3_per_atom": 23.7, "formation_energy_uncorrected_mev_per_atom": 124, "total_energy_ev_per_cell": -15.6, "magnetic_moment_mub_per_fu": 0.00, "relative_energy_ev_per_atom": 0.050}

---

# 15
{"formula": "TlPt2Br", "functional": "PBE", "state": "relaxed", "lattice": [[3.493, 0.000, 0.000], [0.000, 3.493, 0.000], [0.000, 0.000, 6.701]], "species": ["Tl", "Br", "Pt", "Pt"], "fractional_positions": [[0.500, 0.500, 0.250], [0.500, 0.500, 0.750], [0.000, 0.000, 0.039], [0.000, 0.000, 0.461]], "vol_a3_per_atom": 20.4, "formation_energy_uncorrected_mev_per_atom": 363, "total_energy_ev_per_cell": -14.7, "magnetic_moment_mub_per_fu": 0.00, "relative_energy_ev_per_atom": 0.289}

---

# 16
{"formula": "Tl2PtBr5", "functional": "PBE", "state": "relaxed", "lattice": [[-0.388, 7.077, -2.747], [2.593, -2.592, -7.044], [-5.599, -2.953, 3.700]], "species": ["Tl", "Tl", "Pt", "Br", "Br", "Br", "Br", "Br"], "fractional_positions": [[0.256, 0.755, 0.512], [0.750, 0.200, 0.501], [0.996, 0.001, 0.991], [0.801, 0.256, 0.064], [0.262, 0.256, 0.064], [0.767, 0.779, 0.993], [0.226, 0.779, 0.993], [0.719, 0.752, 0.438]], "vol_a3_per_atom": 35.5, "formation_energy_uncorrected_mev_per_atom": -517, "total_energy_ev_per_cell": -23.3, "magnetic_moment_mub_per_fu": 1.02, "relative_energy_ev_per_atom": 0.000}

---

# 17
{"formula": "Tl3PtBr", "functional": "PBE", "state": "relaxed", "lattice": [[17.597, 0.000, 4.767], [5.484, 2.700, -1.689], [-5.484, 2.700, 1.689]], "species": ["Tl", "Tl", "Tl", "Tl", "Tl", "Tl", "Br", "Br", "Pt", "Pt"], "fractional_positions": [[0.335, 0.761, 0.239], [0.665, 0.239, 0.761], [0.948, 0.428, 0.572], [0.052, 0.572, 0.428], [0.760, 0.408, 0.592], [0.240, 0.592, 0.408], [0.624, 0.978, 0.022], [0.376, 0.022, 0.978], [0.942, 0.961, 0.039], [0.058, 0.039, 0.961]], "vol_a3_per_atom": 30.2, "formation_energy_uncorrected_mev_per_atom": -282, "total_energy_ev_per_cell": -32.4, "magnetic_moment_mub_per_fu": 0.00, "relative_energy_ev_per_atom": 0.122}

---

# 18
{"formula": "Tl2PtBr5", "functional": "PBE", "state": "relaxed", "lattice": [[5.417, 0.000, 0.000], [-2.708, 6.812, 0.000], [0.000, 0.000, 16.922]], "species": ["Tl", "Tl", "Tl", "Tl", "Pt", "Pt", "Br", "Br", "Br", "Br", "Br", "Br", "Br", "Br", "Br", "Br"], "fractional_positions": [[0.774, 0.549, 0.428], [0.774, 0.549, 0.072], [0.226, 0.451, 0.572], [0.226, 0.451, 0.928], [0.735, 0.469, 0.750], [0.265, 0.531, 0.250], [0.862, 0.723, 0.857], [0.862, 0.723, 0.643], [0.393, 0.786, 0.357], [0.393, 0.786, 0.143], [0.764, 0.528, 0.250], [0.236, 0.472, 0.750], [0.607, 0.214, 0.643], [0.607, 0.214, 0.857], [0.138, 0.277, 0.143], [0.138, 0.277, 0.357]], "vol_a3_per_atom": 39.0, "formation_energy_uncorrected_mev_per_atom": -512, "total_energy_ev_per_cell": -46.5, "magnetic_moment_mub_per_fu": 0.00, "relative_energy_ev_per_atom": 0.005}

---

# 19
{"formula": "TlPt2Br", "functional": "PBE", "state": "relaxed", "lattice": [[4.270, 0.000, 0.000], [0.000, 4.270, 0.000], [2.135, 2.135, 9.360]], "species": ["Tl", "Tl", "Br", "Br", "Pt", "Pt", "Pt", "Pt"], "fractional_positions": [[0.000, 0.000, 0.000], [0.750, 0.250, 0.500], [0.500, 0.500, 0.000], [0.250, 0.750, 0.500], [0.621, 0.125, 0.250], [0.129, 0.625, 0.250], [0.375, 0.379, 0.750], [0.875, 0.871, 0.750]], "vol_a3_per_atom": 21.3, "formation_energy_uncorrected_mev_per_atom": 359, "total_energy_ev_per_cell": -29.4, "magnetic_moment_mub_per_fu": 0.00, "relative_energy_ev_per_atom": 0.285}

---

# 20
{"formula": "TlPt2Br", "functional": "PBE", "state": "relaxed", "lattice": [[0.000, 3.387, 3.387], [3.387, 0.000, 3.387], [3.387, 3.387, 0.000]], "species": ["Tl", "Br", "Pt", "Pt"], "fractional_positions": [[0.500, 0.500, 0.500], [0.000, 0.000, 0.000], [0.250, 0.250, 0.250], [0.750, 0.750, 0.750]], "vol_a3_per_atom": 19.4, "formation_energy_uncorrected_mev_per_atom": 449, "total_energy_ev_per_cell": -14.3, "magnetic_moment_mub_per_fu": 0.00, "relative_energy_ev_per_atom": 0.375}